# KPtBr | the Alexandria database | PBE | relaxed
data_KPtBr
_symmetry_space_group_name_H-M 'P 1'
_symmetry_Int_Tables_number 1
_cell_length_a 4.881
_cell_length_b 4.881
_cell_length_c 4.881
_cell_angle_alpha 60.00
_cell_angle_beta 60.00
_cell_angle_gamma 60.00
loop_
_symmetry_equiv_pos_as_xyz
'x,y,z'
loop_
_atom_site_label
_atom_site_fract_x
_atom_site_fract_y
_atom_site_fract_z
K1 0.000 0.000 0.000
Pt1 0.750 0.750 0.750
Br1 0.500 0.500 0.500
# M_tot ... 0.000 μB/cell
# Energy ... -8.5 eV for the cell shown

# CoMoW | the Alexandria database | PBE | relaxed
data_CoMoW
_symmetry_space_group_name_H-M 'P 1'
_symmetry_Int_Tables_number 1
_cell_length_a 9.351
_cell_length_b 8.719
_cell_length_c 4.830
_cell_angle_alpha 81.87
_cell_angle_beta 67.38
_cell_angle_gamma 30.75
loop_
_symmetry_equiv_pos_as_xyz
'x,y,z'
loop_
_atom_site_label
_atom_site_fract_x
_atom_site_fract_y
_atom_site_fract_z
Co1 0.001 0.001 0.249
Co2 0.249 0.249 0.001
Co3 0.751 0.751 0.999
Co4 0.999 0.999 0.751
Mo1 0.297 0.297 0.453
Mo2 0.453 0.453 0.297
Mo3 0.547 0.547 0.703
Mo4 0.703 0.703 0.547
W1 0.046 0.704 0.046
W2 0.296 0.954 0.296
W3 0.704 0.046 0.704
W4 0.954 0.296 0.954
# Energy of formation ... 0.006 eV/atom
# M_tot ... 0.000 μB/cell
# Energy ... -123.5 eV for the cell shown

# KOsSeN2 | the Alexandria database | PBE | relaxed
data_KOsSeN2
_symmetry_space_group_name_H-M 'P 1'
_symmetry_Int_Tables_number 1
_cell_length_a 4.065
_cell_length_b 4.065
_cell_length_c 5.502
_cell_angle_alpha 90.00
_cell_angle_beta 90.00
_cell_angle_gamma 90.00
loop_
_symmetry_equiv_pos_as_xyz
'x,y,z'
loop_
_atom_site_label
_atom_site_fract_x
_atom_site_fract_y
_atom_site_fract_z
K1 0.000 0.000 0.000
Os1 0.500 0.500 0.500
Se1 0.000 0.000 0.500
N1 0.000 0.500 0.000
N2 0.500 0.000 0.000
# M_tot ... 0.000 μB/cell
# Energy ... -15.2 eV for the cell shown

# In2AgHg | the Alexandria database | PBE | relaxed
data_In2AgHg
_symmetry_space_group_name_H-M 'P 1'
_symmetry_Int_Tables_number 1
_cell_length_a 6.536
_cell_length_b 6.536
_cell_length_c 6.536
_cell_angle_alpha 102.65
_cell_angle_beta 102.65
_cell_angle_gamma 124.19
loop_
_symmetry_equiv_pos_as_xyz
'x,y,z'
loop_
_atom_site_label
_atom_site_fract_x
_atom_site_fract_y
_atom_site_fract_z
In1 0.106 0.625 0.981
In2 0.375 0.356 0.481
In3 0.644 0.125 0.019
In4 0.875 0.894 0.519
Ag1 0.000 0.000 0.000
Ag2 0.750 0.250 0.500
Hg1 0.250 0.750 0.500
Hg2 0.500 0.500 0.000
# Energy of formation ... 0.096 eV/atom
# M_tot ... 0.000 μB/cell
# Energy ... -16.5 eV for the cell shown

# NpCdSnHg | the Alexandria database | PBE | relaxed
data_NpCdSnHg
_symmetry_space_group_name_H-M 'P 1'
_symmetry_Int_Tables_number 1
_cell_length_a 5.208
_cell_length_b 5.208
_cell_length_c 5.208
_cell_angle_alpha 60.00
_cell_angle_beta 60.00
_cell_angle_gamma 60.00
loop_
_symmetry_equiv_pos_as_xyz
'x,y,z'
loop_
_atom_site_label
_atom_site_fract_x
_atom_site_fract_y
_atom_site_fract_z
Np1 0.000 0.000 0.000
Cd1 0.500 0.500 0.500
Sn1 0.250 0.250 0.250
Hg1 0.750 0.750 0.750
# Energy of formation ... 0.091 eV/atom
# M_tot ... 4.562 μB/cell
# Energy ... -17.8 eV for the cell shown

# ScCo2Mo | the Alexandria database | PBE | relaxed
data_ScCo2Mo
_symmetry_space_group_name_H-M 'P 1'
_symmetry_Int_Tables_number 1
_cell_length_a 2.821
_cell_length_b 4.308
_cell_length_c 4.667
_cell_angle_alpha 90.00
_cell_angle_beta 99.29
_cell_angle_gamma 90.00
loop_
_symmetry_equiv_pos_as_xyz
'x,y,z'
loop_
_atom_site_label
_atom_site_fract_x
_atom_site_fract_y
_atom_site_fract_z
Sc1 0.000 0.000 0.000
Co1 0.546 0.500 0.108
Co2 0.621 0.000 0.472
Mo1 0.209 0.500 0.583
# Energy of formation ... -0.062 eV/atom
# M_tot ... 0.000 μB/cell
# Energy ... -31.6 eV for the cell shown

# La2PmEr3 | the Alexandria database | PBE | relaxed
data_La2PmEr3
_symmetry_space_group_name_H-M 'P 1'
_symmetry_Int_Tables_number 1
_cell_length_a 9.163
_cell_length_b 9.163
_cell_length_c 7.059
_cell_angle_alpha 101.12
_cell_angle_beta 101.12
_cell_angle_gamma 44.91
loop_
_symmetry_equiv_pos_as_xyz
'x,y,z'
loop_
_atom_site_label
_atom_site_fract_x
_atom_site_fract_y
_atom_site_fract_z
La1 0.169 0.185 0.089
La2 0.185 0.169 0.589
La3 0.815 0.831 0.411
La4 0.831 0.815 0.911
Pm1 0.235 0.765 0.250
Pm2 0.765 0.235 0.750
Er1 0.233 0.767 0.750
Er2 0.359 0.370 0.434
Er3 0.370 0.359 0.934
Er4 0.630 0.641 0.066
Er5 0.641 0.630 0.566
Er6 0.767 0.233 0.250
# Energy of formation ... 0.143 eV/atom
# M_tot ... 0.000 μB/cell
# Energy ... -54.9 eV for the cell shown

# Pr8Nd2Pb | the Alexandria database | PBE | relaxed
data_Pr8Nd2Pb
_symmetry_space_group_name_H-M 'P 1'
_symmetry_Int_Tables_number 1
_cell_length_a 9.743
_cell_length_b 9.743
_cell_length_c 8.253
_cell_angle_alpha 104.69
_cell_angle_beta 104.69
_cell_angle_gamma 30.36
loop_
_symmetry_equiv_pos_as_xyz
'x,y,z'
loop_
_atom_site_label
_atom_site_fract_x
_atom_site_fract_y
_atom_site_fract_z
Pr1 0.043 0.043 0.231
Pr2 0.137 0.137 0.679
Pr3 0.323 0.323 0.592
Pr4 0.410 0.410 0.059
Pr5 0.590 0.590 0.941
Pr6 0.677 0.677 0.408
Pr7 0.863 0.863 0.321
Pr8 0.957 0.957 0.769
Nd1 0.224 0.224 0.134
Nd2 0.776 0.776 0.866
Pb1 0.500 0.500 0.500
# Energy of formation ... -0.082 eV/atom
# M_tot ... 0.000 μB/cell
# Energy ... -52.4 eV for the cell shown

# Tl3P | the Alexandria database | PBE | relaxed
data_Tl3P
_symmetry_space_group_name_H-M 'P 1'
_symmetry_Int_Tables_number 1
_cell_length_a 5.665
_cell_length_b 4.138
_cell_length_c 5.713
_cell_angle_alpha 90.00
_cell_angle_beta 115.89
_cell_angle_gamma 90.00
loop_
_symmetry_equiv_pos_as_xyz
'x,y,z'
loop_
_atom_site_label
_atom_site_fract_x
_atom_site_fract_y
_atom_site_fract_z
Tl1 0.000 0.000 0.000
Tl2 0.304 0.500 0.697
Tl3 0.696 0.500 0.303
P1 0.500 0.000 0.500
# Energy of formation ... 0.145 eV/atom
# M_tot ... 0.000 μB/cell
# Energy ... -11.9 eV for the cell shown

# Tb16Pr6Th7 | the Alexandria database | PBE | relaxed
data_Tb16Pr6Th7
_symmetry_space_group_name_H-M 'P 1'
_symmetry_Int_Tables_number 1
_cell_length_a 11.334
_cell_length_b 11.334
_cell_length_c 11.334
_cell_angle_alpha 60.00
_cell_angle_beta 60.00
_cell_angle_gamma 60.00
loop_
_symmetry_equiv_pos_as_xyz
'x,y,z'
loop_
_atom_site_label
_atom_site_fract_x
_atom_site_fract_y
_atom_site_fract_z
Tb1 0.035 0.655 0.655
Tb2 0.129 0.129 0.129
Tb3 0.129 0.129 0.613
Tb4 0.129 0.613 0.129
Tb5 0.345 0.345 0.345
Tb6 0.345 0.345 0.965
Tb7 0.345 0.965 0.345
Tb8 0.387 0.871 0.871
Tb9 0.613 0.129 0.129
Tb10 0.655 0.035 0.655
Tb11 0.655 0.655 0.035
Tb12 0.655 0.655 0.655
Tb13 0.871 0.387 0.871
Tb14 0.871 0.871 0.387
Tb15 0.871 0.871 0.871
Tb16 0.965 0.345 0.345
Pr1 0.261 0.261 0.739
Pr2 0.261 0.739 0.261
Pr3 0.261 0.739 0.739
Pr4 0.739 0.261 0.261
Pr5 0.739 0.261 0.739
Pr6 0.739 0.739 0.261
Th1 0.000 0.000 0.000
Th2 0.000 0.000 0.500
Th3 0.000 0.500 0.000
Th4 0.000 0.500 0.500
Th5 0.500 0.000 0.000
Th6 0.500 0.000 0.500
Th7 0.500 0.500 0.000
# Energy of formation ... 0.249 eV/atom
# M_tot ... 0.000 μB/cell
# Energy ... -147.5 eV for the cell shown

# Fe2HRuRh | the Alexandria database | PBE | relaxed
data_Fe2HRuRh
_symmetry_space_group_name_H-M 'P 1'
_symmetry_Int_Tables_number 1
_cell_length_a 3.725
_cell_length_b 3.725
_cell_length_c 3.691
_cell_angle_alpha 90.00
_cell_angle_beta 90.00
_cell_angle_gamma 90.00
loop_
_symmetry_equiv_pos_as_xyz
'x,y,z'
loop_
_atom_site_label
_atom_site_fract_x
_atom_site_fract_y
_atom_site_fract_z
Fe1 0.000 0.500 0.000
Fe2 0.500 0.000 0.000
H1 0.000 0.000 0.000
Ru1 0.500 0.500 0.500
Rh1 0.000 0.000 0.500
# M_tot ... 0.002 μB/cell
# Energy ... -36.1 eV for the cell shown

# TcAgB3 | the Alexandria database | PBE | relaxed
data_TcAgB3
_symmetry_space_group_name_H-M 'P 1'
_symmetry_Int_Tables_number 1
_cell_length_a 4.107
_cell_length_b 4.107
_cell_length_c 4.107
_cell_angle_alpha 90.00
_cell_angle_beta 90.00
_cell_angle_gamma 90.00
loop_
_symmetry_equiv_pos_as_xyz
'x,y,z'
loop_
_atom_site_label
_atom_site_fract_x
_atom_site_fract_y
_atom_site_fract_z
Tc1 0.000 0.000 0.000
Ag1 0.500 0.500 0.500
B1 0.000 0.000 0.500
B2 0.000 0.500 0.000
B3 0.500 0.000 0.000
# Energy of formation ... 1.081 eV/atom
# M_tot ... 0.000 μB/cell
# Energy ... -27.8 eV for the cell shown

What is the M_tot in the fourth record? 0.000 μB/cell

Which value of M_tot does entry 5 give? 4.562 μB/cell

Which formula does entry 8 have? Pr8Nd2Pb

Number 1 is which compound? KPtBr